# Ag2Mo GGA-PBE relaxed
data_Ag2Mo
_symmetry_space_group_name_H-M 'C 1 2/m 1'
_symmetry_Int_Tables_number 12
_cell_length_a 11.0595
_cell_length_b 2.7077
_cell_length_c 7.0816
_cell_angle_alpha 90.00
_cell_angle_beta 103.97
_cell_angle_gamma 90.00
loop_
_symmetry_equiv_pos_as_xyz
'x,y,z'
'-x,-y,-z'
'-x,y,-z'
'x,-y,z'
'x+1/2,y+1/2,z'
'-x+1/2,-y+1/2,-z'
'-x+1/2,y+1/2,-z'
'x+1/2,-y+1/2,z'
loop_
_atom_site_label
_atom_site_type_symbol
_atom_site_fract_x
_atom_site_fract_y
_atom_site_fract_z
Ag1 Ag 0.0232 0.0000 0.3133
Ag2 Ag 0.1380 0.5000 0.0263
Mo1 Mo 0.2049 0.5000 0.6343
# * energy relative to the elements: 133 kJ/mol of formula units
# * energy relative to the lowest polymorph listed for this composition: 19 kJ/mol of formula units


# Er4InSb GGA-PBE relaxed
data_Er4InSb
_symmetry_space_group_name_H-M 'C m c m'
_symmetry_Int_Tables_number 63
_symmetry_space_group_name_Hall '-C 2c 2'
_cell_length_a 5.4899
_cell_length_b 21.3414
_cell_length_c 6.3340
_cell_angle_alpha 90.00
_cell_angle_beta 90.00
_cell_angle_gamma 90.00
loop_
_atom_site_label
_atom_site_type_symbol
_atom_site_fract_x
_atom_site_fract_y
_atom_site_fract_z
Er1 Er 0.0000 0.0664 0.2500
Er2 Er 0.0000 0.2083 0.0012
Er3 Er 0.0000 0.3643 0.2500
In1 In 0.0000 0.0751 0.7500
Sb1 Sb 0.0000 0.3452 0.7500
# * formation energy without anion corrections: -306.9 meV/atom


# Li2MnRh2 GGA-PBE relaxed
data_Li2MnRh2
_symmetry_space_group_name_H-M 'I 4/m m m'
_symmetry_Int_Tables_number 139
_symmetry_space_group_name_Hall '-I 4 2'
_cell_length_a 2.9113
_cell_length_b 2.9113
_cell_length_c 14.6305
_cell_angle_alpha 90.00
_cell_angle_beta 90.00
_cell_angle_gamma 90.00
loop_
_atom_site_label
_atom_site_type_symbol
_atom_site_fract_x
_atom_site_fract_y
_atom_site_fract_z
Li1 Li 0.0000 0.5000 0.2500
Mn1 Mn 0.0000 0.0000 0.0000
Rh1 Rh 0.0000 0.0000 0.3974
# * energy relative to the elements: 126 kJ/mol of formula units
# * energy relative to the lowest polymorph listed for this composition: 131 kJ/mol of formula units


# Pm12Ru6Rh GGA-PBE relaxed
data_Pm12Ru6Rh
_symmetry_space_group_name_H-M 'R -3'
_symmetry_Int_Tables_number 148
_symmetry_space_group_name_Hall '-R 3'
_cell_length_a 12.6604
_cell_length_b 12.6604
_cell_length_c 11.6199
_cell_angle_alpha 90.00
_cell_angle_beta 90.00
_cell_angle_gamma 120.00
loop_
_atom_site_label
_atom_site_type_symbol
_atom_site_fract_x
_atom_site_fract_y
_atom_site_fract_z
Pm1 Pm 0.0277 0.2072 0.3866
Pm2 Pm 0.0318 0.2069 0.8825
Ru1 Ru 0.0465 0.2612 0.6499
Rh1 Rh 0.0000 0.0000 0.0000
# * energy relative to the elements: -292 kJ/mol of formula units


The E results, record by record, are as follows: -60.6 -107.8 -52.8 -369.1 eV/cell.